# Sc5Tl2Co2Au (PBE-GGA, relaxed)
# Calculated volume   399.2 Å³ per cell
# Energy relative to the elements   -0.39 eV/atom
data_Sc5Tl2Co2Au
_chemical_formula_sum 'Sc10 Tl4 Co4 Au2'
_symmetry_space_group_name_H-M 'P 1'
_symmetry_Int_Tables_number 1
_symmetry_space_group_name_Hall 'P 1'
_cell_length_a 3.328
_cell_length_b 10.952
_cell_length_c 10.952
_cell_angle_alpha 90.00
_cell_angle_beta 90.00
_cell_angle_gamma 90.00
loop_
_atom_site_label
_atom_site_fract_x
_atom_site_fract_y
_atom_site_fract_z
Sc1 0.500 0.500 0.000
Au1 0.000 0.000 0.000
Sc2 0.500 0.575 0.706
Tl1 0.000 0.828 0.672
Tl2 0.000 0.672 0.172
Tl3 0.000 0.172 0.328
Co1 0.000 0.368 0.132
Sc3 0.500 0.075 0.794
Sc4 0.500 0.206 0.075
Co2 0.000 0.868 0.368
Sc5 0.500 0.000 0.500
Sc6 0.500 0.794 0.925
Sc7 0.500 0.925 0.206
Au2 0.000 0.500 0.500
Sc8 0.500 0.425 0.294
Tl4 0.000 0.328 0.828
Sc9 0.500 0.294 0.575
Sc10 0.500 0.706 0.425
Co3 0.000 0.632 0.868
Co4 0.000 0.132 0.632